Entry 1:
Computed, not measured: AcPbBr2O after structural relaxation at the PBE level of DFT.

Properties
E_form (uncorrected) in kJ/mol of formula units: -884.7

a = 4.2849 Å, b = 4.2849 Å, c = 17.9242 Å
α = 90.00°, β = 90.00°, γ = 90.00°
Last column: nearest neighbours and their distance in Å.
Atoms (fractional coordinates):
Br (0.0000, 0.5000, 0.6612)  4 Ac 3.44, 4 O 3.60
Ac (0.0000, 0.5000, 0.4297)  4 O 2.49
Br (0.5000, 0.0000, 0.9315)  5 Pb 3.13-3.23
Br (0.5000, 0.0000, 0.3388)  4 Ac 3.44, 4 O 3.60
Pb (0.0000, 0.5000, 0.8880)  5 Br 3.13-3.23
Ac (0.5000, 0.0000, 0.5703)  4 O 2.49
Br (0.0000, 0.5000, 0.0685)  5 Pb 3.13-3.23
O (0.0000, 0.0000, 0.5000)  4 Ac 2.49
O (0.5000, 0.5000, 0.5000)  4 Ac 2.49
Pb (0.5000, 0.0000, 0.1120)  5 Br 3.13-3.23

Entry 2:
Computed, not measured: AcPb2BrO4 after structural relaxation at the PBE level of DFT.

Properties
E_form (uncorrected) in kJ/mol of formula units: -1228.3

a = 4.1430 Å, b = 4.1430 Å, c = 9.4910 Å
α = 90.00°, β = 90.00°, γ = 90.00°
Last column: nearest neighbours and their distance in Å.
Atoms (fractional coordinates):
Pb (0.5000, 0.5000, 0.7272)  4 O 2.32
Ac (0.0000, 0.0000, 0.0000)  8 O 2.58
O (0.0000, 0.5000, 0.1628)  2 Pb 2.32, 2 Ac 2.58
Pb (0.5000, 0.5000, 0.2728)  4 O 2.32
O (0.0000, 0.5000, 0.8372)  2 Pb 2.32, 2 Ac 2.58
Br (0.0000, 0.0000, 0.5000)  8 Pb 3.64, 8 O 3.81
O (0.5000, 0.0000, 0.8372)  2 Pb 2.32, 2 Ac 2.58
O (0.5000, 0.0000, 0.1628)  2 Pb 2.32, 2 Ac 2.58

Entry 3:
Computed, not measured: AcPuBrO4 after structural relaxation at the PBE level of DFT.

Properties
E_form (uncorrected) in kJ/mol of formula units: -1679.6

a = 6.9227 Å, b = 6.9227 Å, c = 6.7906 Å
α = 87.20°, β = 87.20°, γ = 65.77°
Last column: nearest neighbours and their distance in Å.
Atoms (fractional coordinates):
Br (0.9699, 0.9699, 0.7528)  2 O 3.08-3.45, 2 Ac 3.18-3.19
O (0.5040, 0.1452, 0.1605)  1 Pu 2.06
O (0.4960, 0.8548, 0.8395)  1 Pu 2.06
O (0.1452, 0.5040, 0.1605)  1 Pu 2.06
Ac (0.2251, 0.2251, 0.8970)  5 O 2.51-2.63
Pu (0.3799, 0.3799, 0.3635)  4 O 1.87-2.06
O (0.2383, 0.2383, 0.5088)  1 Pu 1.87
O (0.5506, 0.5506, 0.3136)  1 Pu 1.99
Pu (0.6201, 0.6201, 0.6365)  4 O 1.87-2.06
O (0.8548, 0.4960, 0.8395)  1 Pu 2.06
O (0.4494, 0.4494, 0.6864)  1 Pu 1.99
O (0.7617, 0.7617, 0.4912)  1 Pu 1.87
Br (0.0301, 0.0301, 0.2472)  2 O 3.08-3.45, 2 Ac 3.18-3.19
Ac (0.7749, 0.7749, 0.1030)  5 O 2.51-2.63

Entry 4:
Computed, not measured: Rb2AcBrO2 after structural relaxation at the PBE level of DFT.

Properties
E_form (uncorrected) in kJ/mol of formula units: -1218.4

a = 4.8675 Å, b = 4.8675 Å, c = 7.0881 Å
α = 90.00°, β = 90.00°, γ = 90.00°
Last column: nearest neighbours and their distance in Å.
Atoms (fractional coordinates):
O (0.5000, 0.0000, 0.0000)  2 Ac 2.43
Br (0.0000, 0.0000, 0.5000)  2 Ac 3.54, 8 Rb 3.89
Ac (0.0000, 0.0000, 0.0000)  4 O 2.43
Rb (0.5000, 0.5000, 0.7544)  4 O 2.99
Rb (0.5000, 0.5000, 0.2456)  4 O 2.99
O (0.0000, 0.5000, 0.0000)  2 Ac 2.43

Entry 5:
Computed, not measured: Ac8Rh3Br4O after structural relaxation at the PBE level of DFT.

Properties
E_form (uncorrected) in kJ/mol of formula units: -1991.5

a = 8.4474 Å, b = 9.6995 Å, c = 8.5311 Å
α = 116.49°, β = 119.68°, γ = 90.00°
Last column: nearest neighbours and their distance in Å.
Atoms (fractional coordinates):
Br (0.0000, 0.0000, 0.5000)  6 Ac 3.52-3.54
Ac (0.7648, 0.3007, 0.5297)  2 Rh 2.95, 1 O 3.00
Ac (0.2206, 0.6880, 0.9690)  1 O 2.79, 2 Rh 2.96-2.99
O (0.0000, 0.5000, 0.0000)  6 Ac 2.79-3.00
Ac (0.2685, 0.3066, 0.5369)  3 Rh 2.93-2.95
Rh (0.5000, 0.5000, 0.5000)  6 Ac 2.93-2.99
Ac (0.2352, 0.6993, 0.4703)  2 Rh 2.95, 1 O 3.00
Ac (0.7483, 0.6880, 0.9690)  1 O 2.79, 2 Rh 2.96-2.99
Ac (0.2517, 0.3120, 0.0310)  1 O 2.79, 2 Rh 2.96-2.99
Ac (0.7315, 0.6934, 0.4631)  3 Rh 2.93-2.95
Br (0.0000, 0.0000, 0.0000)  6 Ac 3.53-3.54
Br (0.5000, 0.0000, 0.5000)  6 Ac 3.52-3.54
Br (0.5000, 0.0000, 0.0000)  6 Ac 3.49-3.67
Rh (0.5000, 0.5000, 0.0000)  6 Ac 2.95-2.96
Ac (0.7794, 0.3120, 0.0310)  1 O 2.79, 2 Rh 2.96-2.99
Rh (0.0000, 0.5000, 0.5000)  6 Ac 2.93-2.99

Entry 6:
Computed, not measured: Ac8Ru3Br3O after structural relaxation at the PBE level of DFT.

Properties
E_form (uncorrected) in kJ/mol of formula units: -1361.8

a = 8.4608 Å, b = 8.4696 Å, c = 9.6558 Å
α = 116.02°, β = 89.98°, γ = 120.05°
Last column: nearest neighbours and their distance in Å.
Atoms (fractional coordinates):
Ru (0.5000, 0.0000, 0.5000)  6 Ac 2.92-2.96
Ac (0.7336, 0.4672, 0.7003)  3 Ru 2.96
Ac (0.2243, 0.9623, 0.6861)  1 O 2.84, 2 Ru 2.92
Ac (0.2664, 0.5328, 0.2997)  3 Ru 2.96
Ru (0.0000, 0.5000, 0.5000)  6 Ac 2.92-2.96
Ac (0.7382, 0.9623, 0.6856)  1 O 2.83, 2 Ru 2.92
O (0.0000, 0.0000, 0.5000)  6 Ac 2.83-2.84
Br (0.0000, 0.0000, 0.0000)  6 Ac 3.49-3.56
Ru (0.5000, 0.5000, 0.5000)  6 Ac 2.92-2.96
Ac (0.7757, 0.0377, 0.3139)  1 O 2.84, 2 Ru 2.92
Ac (0.2245, 0.4492, 0.6860)  1 O 2.84, 2 Ru 2.92
Br (0.5000, 0.5000, 0.0000)  6 Ac 3.49-3.56
Ac (0.2618, 0.0377, 0.3144)  1 O 2.83, 2 Ru 2.92
Ac (0.7755, 0.5508, 0.3140)  1 O 2.84, 2 Ru 2.92
Br (0.0000, 0.5000, 0.0000)  6 Ac 3.49-3.56

Entry 7:
Computed, not measured: Ac8Ru3Br4O after structural relaxation at the PBE level of DFT.

Properties
E_form (uncorrected) in kJ/mol of formula units: -1711.3

a = 8.4256 Å, b = 9.6559 Å, c = 8.4410 Å
α = 116.04°, β = 119.94°, γ = 90.00°
Last column: nearest neighbours and their distance in Å.
Atoms (fractional coordinates):
Ac (0.7337, 0.7004, 0.4674)  3 Ru 2.95
Ac (0.7757, 0.3130, 0.0366)  1 O 2.83, 2 Ru 2.92
Br (0.0000, 0.0000, 0.5000)  6 Ac 3.49-3.54
Ru (0.5000, 0.5000, 0.5000)  6 Ac 2.92-2.95
Ac (0.2267, 0.6889, 0.4535)  1 O 2.86, 2 Ru 2.92
Br (0.5000, 0.0000, 0.5000)  6 Ac 3.49-3.54
Br (0.5000, 0.0000, 0.0000)  6 Ac 3.58-3.62
Ru (0.5000, 0.5000, 0.0000)  6 Ac 2.92-2.95
Br (0.0000, 0.0000, 0.0000)  6 Ac 3.48-3.54
O (0.0000, 0.5000, 0.0000)  6 Ac 2.83-2.86
Ac (0.7733, 0.3111, 0.5465)  1 O 2.86, 2 Ru 2.92
Ac (0.2663, 0.2996, 0.5326)  3 Ru 2.95
Ac (0.2609, 0.3130, 0.0366)  1 O 2.83, 2 Ru 2.92
Ac (0.2243, 0.6870, 0.9634)  1 O 2.83, 2 Ru 2.92
Ac (0.7391, 0.6870, 0.9634)  1 O 2.83, 2 Ru 2.92
Ru (0.0000, 0.5000, 0.5000)  6 Ac 2.92-2.95

Entry 8:
Computed, not measured: Ac4RuBr2O after structural relaxation at the PBE level of DFT.

Properties
E_form (uncorrected) in kJ/mol of formula units: -1028.9

a = 4.1178 Å, b = 7.1063 Å, c = 8.6489 Å
α = 107.22°, β = 90.00°, γ = 90.00°
Last column: nearest neighbours and their distance in Å.
Atoms (fractional coordinates):
Br (0.0000, 0.5000, 0.5000)  6 Ac 3.50-3.64
Ac (0.0000, 0.2478, 0.8095)  1 O 2.74, 2 Ru 2.90
Ac (0.0000, 0.7522, 0.1905)  1 O 2.74, 2 Ru 2.90
O (0.0000, 0.0000, 0.0000)  6 Ac 2.74-2.80
Br (0.5000, 0.0000, 0.5000)  6 Ac 3.42-3.49
Ac (0.5000, 0.7791, 0.8106)  2 O 2.80, 1 Ru 2.92
Ac (0.5000, 0.2209, 0.1894)  2 O 2.80, 1 Ru 2.92
Ru (0.5000, 0.5000, 0.0000)  6 Ac 2.90-2.92